1.
Density functional theory data (PBE) for a relaxed structure of Ir3Rh5.

a b c (Å): 2.730 5.454 7.691
angles (deg): 90.00 90.00 90.00
Space group Pmm2 (No. 25)
Symmetry-distinct sites (fractional):
Ir (0.000, 0.000, 0.000) x1
Ir (0.500, 0.250, 0.248) x2
Rh (0.000, 0.000, 0.496) x1
Rh (0.000, 0.500, 0.000) x1
Rh (0.000, 0.500, 0.497) x1
Rh (0.500, 0.249, 0.750) x2

ΔE_f ... -0.002 eV per atom
Energy above the most stable polymorph in this dataset ... 6 meV/atom



2.
Density functional theory data (PBE) for a relaxed structure of TeWSe2.

a b c (Å): 6.663 3.206 6.854
angles (deg): 90.00 116.82 90.00
Space group Pm (No. 6)
Symmetry-distinct sites (fractional):
Te (0.000, 0.000, 0.000) x1
W (0.936, 0.500, 0.288) x1
Se (0.263, 0.500, 0.608) x1
Se (0.682, 0.000, 0.344) x1

Energy relative to the elements, uncorrected ... -89 meV per atom



3.
Density functional theory data (PBE) for a relaxed structure of CeAlCd.

a b c (Å): 4.8600 4.8600 3.4694
angles (deg): 90.00 90.00 120.00
Space group P-6m2 (No. 187)
Symmetry-distinct sites (fractional):
Ce (0.0000, 0.0000, 0.0000) x1
Al (0.3333, 0.6667, 0.5000) x1
Cd (0.6667, 0.3333, 0.5000) x1

ΔE_f ... -0.273 eV per atom



4.
Density functional theory data (PBE) for a relaxed structure of Ce2Zn5Hg.

a b c (Å): 4.412 16.556 9.066
angles (deg): 90.00 90.00 90.00
Space group Cmcm (No. 63)
Symmetry-distinct sites (fractional):
Ce (0.000, 0.000, 0.000) x4
Ce (0.000, 0.207, 0.250) x4
Zn (0.000, 0.186, 0.608) x8
Zn (0.000, 0.343, 0.519) x8
Zn (0.000, 0.395, 0.250) x4
Hg (0.000, 0.445, 0.750) x4

ΔE_f ... -0.276 eV per atom



5.
Density functional theory data (PBE) for a relaxed structure of Np2AlAu6.

a b c (Å): 6.1515 6.1515 5.7310
angles (deg): 90.00 90.00 120.00
Space group P-3m1 (No. 164)
Symmetry-distinct sites (fractional):
Np (0.3333, 0.6667, 0.3464) x2
Al (0.0000, 0.0000, 0.5000) x1
Au (0.1776, 0.3553, 0.8094) x6

ΔE_f ... -0.216 eV per atom



6.
Density functional theory data (PBE) for a relaxed structure of Ge2OsPtN.

a b c (Å): 4.769 4.769 4.942
angles (deg): 90.00 90.00 90.00
Space group P4/mmm (No. 123)
Symmetry-distinct sites (fractional):
Ge (0.000, 0.500, 0.000) x2
Os (0.000, 0.000, 0.000) x1
Pt (0.000, 0.000, 0.500) x1
N (0.500, 0.500, 0.500) x1

Energy above the most stable polymorph in this dataset ... 696 meV/atom
Energy relative to the elements, uncorrected ... 1573 meV per atom



7.
Density functional theory data (PBE) for a relaxed structure of KCd2HgPt.

a b c (Å): 5.307 5.307 5.385
angles (deg): 90.00 90.00 90.00
Space group P4/mmm (No. 123)
Symmetry-distinct sites (fractional):
K (0.000, 0.000, 0.000) x1
Cd (0.000, 0.500, 0.500) x2
Hg (0.500, 0.500, 0.000) x1
Pt (0.500, 0.500, 0.500) x1

ΔE_f ... -0.263 eV per atom
Energy above the most stable polymorph in this dataset ... 0 meV/atom



8.
Density functional theory data (PBE) for a relaxed structure of Cs2Sn2Pt.

a b c (Å): 4.6078 4.6078 36.2516
angles (deg): 90.00 90.00 120.00
Space group R-3m (No. 166, hexagonal axes)
Symmetry-distinct sites (fractional):
Cs (0.0000, 0.0000, 0.0707) x6
Sn (0.0000, 0.0000, 0.1910) x6
Pt (0.0000, 0.0000, 0.5000) x3

ΔE_f ... -0.356 eV per atom
Energy above the most stable polymorph in this dataset ... 0 meV/atom



Volume per entry: 114.5, 130.7, 71.0, 662.2, 187.9, 112.4, 151.7, 666.6 Å³/cell
Mass density per entry: 15.82, 5.97, 6.54, 8.10, 14.87, 8.05, 7.22, 5.22 Mg/m³